First-principles (PBE) data for a geometry-optimized Cs3Zn2Te4 structure, as listed in Alexandria via LeMat-Bulk.

```
data_Cs3Zn2Te4
_symmetry_space_group_name_H-M 'C 1 2/m 1'
_symmetry_Int_Tables_number 12
_cell_length_a 19.509
_cell_length_b 4.297
_cell_length_c 11.475
_cell_angle_alpha 90.00
_cell_angle_beta 108.32
_cell_angle_gamma 90.00
loop_
_symmetry_equiv_pos_as_xyz
'x,y,z'
'-x,-y,-z'
'-x,y,-z'
'x,-y,z'
'x+1/2,y+1/2,z'
'-x+1/2,-y+1/2,-z'
'-x+1/2,y+1/2,-z'
'x+1/2,-y+1/2,z'
loop_
_atom_site_label
_atom_site_fract_x
_atom_site_fract_y
_atom_site_fract_z
Cs1 0.000 0.000 0.000
Cs2 0.126 0.000 0.581
Zn1 0.136 0.500 0.280
Te1 0.007 0.500 0.292
Te2 0.204 0.000 0.256
```

Values from the calculation:
N(E_F) = 6.41 states/eV per cell
excess energy over the best structure of this formula in the dataset = 0.0061 eV per atom
theoretical density = 3.8 Mg/m³
ΔE_f (raw) = -0.712 eV/atom

First-principles (PBE) data for a geometry-optimized Hg2PdAu structure, as listed in Alexandria via LeMat-Bulk.

```
data_Hg2PdAu
_symmetry_space_group_name_H-M 'F m -3 m'
_symmetry_Int_Tables_number 225
_symmetry_space_group_name_Hall '-F 4 2 3'
_cell_length_a 6.722
_cell_length_b 6.722
_cell_length_c 6.722
_cell_angle_alpha 90.00
_cell_angle_beta 90.00
_cell_angle_gamma 90.00
loop_
_atom_site_label
_atom_site_fract_x
_atom_site_fract_y
_atom_site_fract_z
Hg1 0.250 0.250 0.250
Pd1 0.000 0.000 0.000
Au1 0.000 0.000 0.500
```

Values from the calculation:
N(E_F) = 6.09 states/eV per cell
excess energy over the best structure of this formula in the dataset = 0.0187 eV per atom
formation enthalpy at 0 K = -0.003 eV per formula unit
theoretical density = 15.4 Mg/m³

First-principles (PBE) data for a geometry-optimized Na2HfV structure, as listed in Alexandria via LeMat-Bulk.

```
data_Na2HfV
_symmetry_space_group_name_H-M 'I -4 2 d'
_symmetry_Int_Tables_number 122
_symmetry_space_group_name_Hall 'I -4 2bw'
_cell_length_a 8.398
_cell_length_b 8.398
_cell_length_c 5.245
_cell_angle_alpha 90.00
_cell_angle_beta 90.00
_cell_angle_gamma 90.00
loop_
_atom_site_label
_atom_site_fract_x
_atom_site_fract_y
_atom_site_fract_z
Na1 0.226 0.750 0.125
Hf1 0.000 0.000 0.500
V1 0.000 0.000 0.000
```

Values from the calculation:
N(E_F) = 11.08 states/eV per cell
excess energy over the best structure of this formula in the dataset = 0.0000 eV per atom
formation enthalpy at 0 K = 4.913 eV per formula unit
theoretical density = 4.9 Mg/m³

First-principles (PBE) data for a geometry-optimized Ca3Os structure, as listed in Alexandria via LeMat-Bulk.

```
data_Ca3Os
_symmetry_space_group_name_H-M 'P 63/m m c'
_symmetry_Int_Tables_number 194
_symmetry_space_group_name_Hall '-P 6c 2c'
_cell_length_a 6.7330
_cell_length_b 6.7330
_cell_length_c 10.5050
_cell_angle_alpha 90.00
_cell_angle_beta 90.00
_cell_angle_gamma 120.00
loop_
_atom_site_label
_atom_site_fract_x
_atom_site_fract_y
_atom_site_fract_z
Ca1 0.0000 0.5000 0.0000
Ca2 0.1529 0.3059 0.2500
Os1 0.0000 0.0000 0.0000
Os2 0.3333 0.6667 0.7500
```

Values from the calculation:
N(E_F) = 9.59 states/eV per cell
formation enthalpy at 0 K = 1.799 eV per formula unit
theoretical density = 5.0 Mg/m³

First-principles (PBE) data for a geometry-optimized LaTlRe4 structure, as listed in Alexandria via LeMat-Bulk.

```
data_LaTlRe4
_symmetry_space_group_name_H-M 'F -4 3 m'
_symmetry_Int_Tables_number 216
_symmetry_space_group_name_Hall 'F -4 2 3'
_cell_length_a 7.721
_cell_length_b 7.721
_cell_length_c 7.721
_cell_angle_alpha 90.00
_cell_angle_beta 90.00
_cell_angle_gamma 90.00
loop_
_atom_site_label
_atom_site_fract_x
_atom_site_fract_y
_atom_site_fract_z
La1 0.000 0.000 0.000
Tl1 0.250 0.250 0.250
Re1 0.124 0.124 0.624
```

Values from the calculation:
N(E_F) = 18.58 states/eV per cell
formation enthalpy at 0 K = 2.696 eV per formula unit
theoretical density = 15.7 Mg/m³